The following is a GGA+U calculation of crystalline Rb4FeO4 at its relaxed geometry, from Alexandria via LeMat-Bulk.

```
Rb4FeO4
1.0
7.9998 0.0000 0.0000
0.0000 7.9998 0.0000
0.0000 0.0000 5.9598
Rb Fe O
8 2 8
direct
0.0325 0.2500 0.1174
0.2500 0.0325 0.6174
0.2500 0.4675 0.6174
0.4675 0.2500 0.1174
0.5325 0.7500 0.8826
0.7500 0.5325 0.3826
0.7500 0.9675 0.3826
0.9675 0.7500 0.8826
0.2500 0.7500 0.2500
0.7500 0.2500 0.7500
0.0504 0.7500 0.4060
0.2500 0.5504 0.0940
0.2500 0.9496 0.0940
0.4496 0.7500 0.4060
0.5504 0.2500 0.5940
0.7500 0.0504 0.9060
0.7500 0.4496 0.9060
0.9496 0.2500 0.5940
```

Calculated values
**Offset from the most stable computed form**: 0.038 eV per atom
**Space group**: No. 137
**Density**: 4.02 Mg/m³
**Calculated total energy**: -4.508 eV/atom